# Cs2TcAgBr6

A relaxed structure of Cs2TcAgBr6 (PBE-GGA, OQMD).

Unit cell a=7.730 b=7.730 c=7.730 alpha=120.05 beta=120.05 gamma=89.92
Sites, in units of the cell vectors:
Cs (0.250, 0.750, 0.500)
Cs (0.750, 0.250, 0.500)
Tc (0.000, 0.000, 0.000)
Ag (0.500, 0.500, 0.000)
Br (0.231, 0.755, 0.986)
Br (0.238, 0.238, 0.000)
Br (0.245, 0.231, 0.476)
Br (0.755, 0.769, 0.524)
Br (0.762, 0.762, 0.000)
Br (0.769, 0.245, 0.014)

Summary:
symmetry	I4/m, No. 87
electronic total energy	-33.92	eV for the cell shown